(1)
VASP calculation (PBE) on LiSbS3 after structural relaxation.

a b c (Å): 4.4925 4.4925 4.4925
angles (deg): 90.00 90.00 90.00
Closest atoms and distances in Å follow each position.
Sites, in units of the cell vectors:
Sb  0.5000  0.5000  0.5000  12 S 3.18
S  0.0000  0.5000  0.0000  2 Li 2.25
S  0.0000  0.0000  0.5000  2 Li 2.25
S  0.5000  0.0000  0.0000  2 Li 2.25
Li  0.0000  0.0000  0.0000  6 S 2.25

**Formation energy without anion corrections**: 1.420 eV/f.u.
**Total magnetization**: 0.00 μB/atom
**Energy**: -3.3998 eV/atom



(2)
VASP calculation (PBE) on Li2AlRh2O6 after structural relaxation.

a b c (Å): 5.0683 5.0683 5.2483
angles (deg): 100.41 100.41 117.20
Closest atoms and distances in Å follow each position.
Sites, in units of the cell vectors:
Li  0.8252  0.1748  0.0000  6 O 2.13-2.26
Li  0.1748  0.8252  0.0000  6 O 2.13-2.26
Al  0.0000  0.0000  0.5000  6 O 1.90-1.95
Rh  0.3423  0.6577  0.5000  6 O 2.03-2.08
Rh  0.6577  0.3423  0.5000  6 O 2.03-2.08
O  0.7853  0.7853  0.7247  1 Al 1.90, 2 Rh 2.07
O  0.0658  0.3965  0.7099  1 Al 1.95, 2 Rh 2.03-2.08, 1 Li 2.18
O  0.2147  0.2147  0.2753  1 Al 1.90, 2 Rh 2.07
O  0.3965  0.0658  0.7099  1 Al 1.95, 2 Rh 2.03-2.08, 1 Li 2.18
O  0.9342  0.6035  0.2901  1 Al 1.95, 2 Rh 2.03-2.08, 1 Li 2.18
O  0.6035  0.9342  0.2901  1 Al 1.95, 2 Rh 2.03-2.08, 1 Li 2.18

**Formation energy without anion corrections**: -17.635 eV/f.u.
**Total magnetization**: 0.09 μB/atom
**Energy**: -6.3325 eV/atom



(3)
VASP calculation (PBE) on InFeOs2 after structural relaxation.

a b c (Å): 4.7188 4.7188 2.8727
angles (deg): 90.00 90.00 107.35
Closest atoms and distances in Å follow each position.
Sites, in units of the cell vectors:
Fe  0.5000  0.0000  0.5000  8 Os 2.76, 2 In 2.80, 2 Fe 2.87
In  0.0000  0.5000  0.5000  8 Os 2.76, 2 Fe 2.80, 2 In 2.87
Os  0.0000  0.0000  0.0000  4 Fe 2.76, 4 In 2.76, 4 Os 2.80-2.87
Os  0.5000  0.5000  0.0000  4 In 2.76, 4 Fe 2.76, 4 Os 2.80-2.87

**Total magnetization**: 0.64 μB/atom
**Energy**: -7.8055 eV/atom
**Formation enthalpy at 0 K**: 0.61 eV/atom



(4)
VASP calculation (PBE) on Ca2FeRh after structural relaxation.

a b c (Å): 3.4044 3.3476 8.2244
angles (deg): 65.92 90.00 90.00
Closest atoms and distances in Å follow each position.
Sites, in units of the cell vectors:
Ca  0.0000  0.0200  0.9800  4 Rh 2.95, 4 Fe 3.13
Ca  0.0000  0.4800  0.5200  4 Rh 2.95, 4 Fe 3.13
Rh  0.5000  0.7500  0.7500  8 Ca 2.95
Fe  0.5000  0.2500  0.2500  8 Ca 3.13, 4 Fe 3.35-3.40

**Total magnetization**: 0.68 μB/atom
**Energy**: -4.7904 eV/atom
**Formation enthalpy at 0 K**: 0.16 eV/atom



(5)
VASP calculation (PBE) on BaIrO4 after structural relaxation.

a b c (Å): 6.2723 6.2391 6.2391
angles (deg): 107.08 103.48 103.48
Closest atoms and distances in Å follow each position.
Sites, in units of the cell vectors:
Ba  0.7500  0.6474  0.3526  6 O 2.64-2.76
Ba  0.2500  0.3526  0.6474  6 O 2.64-2.76
Ir  0.2500  0.9985  0.0015  6 O 1.86-2.04
Ir  0.7500  0.0015  0.9985  6 O 1.86-2.04
O  0.6228  0.7211  0.7350  1 Ir 1.86
O  0.0055  0.8820  0.1350  2 Ir 2.00-2.04
O  0.8772  0.2650  0.2789  1 Ir 1.86
O  0.4945  0.8650  0.1180  2 Ir 2.00-2.04
O  0.5055  0.1350  0.8820  2 Ir 2.00-2.04
O  0.1228  0.7350  0.7211  1 Ir 1.86
O  0.9945  0.1180  0.8650  2 Ir 2.00-2.04
O  0.3772  0.2789  0.2650  1 Ir 1.86

**Formation energy without anion corrections**: -8.420 eV/f.u.
**Total magnetization**: 0.17 μB/atom
**Energy**: -6.5061 eV/atom



(6)
VASP calculation (PBE) on Cd2InCoTc after structural relaxation.

a b c (Å): 5.1903 4.8172 5.1903
angles (deg): 90.00 90.00 90.00
Closest atoms and distances in Å follow each position.
Sites, in units of the cell vectors:
Cd  0.0000  0.0000  0.5000  2 In 2.60
Cd  0.5000  0.0000  0.0000  2 In 2.60
Co  0.0000  0.5000  0.0000  2 In 2.41
Tc  0.5000  0.5000  0.5000  8 Cd 3.54, 4 Co 3.67
In  0.0000  0.0000  0.0000  2 Co 2.41, 4 Cd 2.60

**Total magnetization**: 1.06 μB/atom
**Energy**: -2.8357 eV/atom
**Formation enthalpy at 0 K**: 1.57 eV/atom



(7)
VASP calculation (PBE) on Mn2AlHW after structural relaxation.

a b c (Å): 3.7948 3.7948 3.9204
angles (deg): 90.00 90.00 90.00
Closest atoms and distances in Å follow each position.
Sites, in units of the cell vectors:
H  0.0000  0.0000  0.0000  4 Mn 1.90, 2 W 1.96
Mn  0.0000  0.5000  0.0000  2 H 1.90
Mn  0.5000  0.0000  0.0000  2 H 1.90
Al  0.5000  0.5000  0.5000  4 W 2.68, 8 Mn 2.73
W  0.0000  0.0000  0.5000  2 H 1.96

**Total magnetization**: 0.75 μB/atom
**Energy**: -7.6480 eV/atom



(8)
VASP calculation (PBE) on CeInSb after structural relaxation.

a b c (Å): 5.2933 5.2933 8.8724
angles (deg): 72.64 72.64 60.00
Closest atoms and distances in Å follow each position.
Sites, in units of the cell vectors:
Ce  0.2673  0.2673  0.1980  4 Sb 3.06-3.14, 1 In 3.26
Ce  0.7327  0.7327  0.8020  4 Sb 3.06-3.14, 1 In 3.26
In  0.1367  0.1367  0.5899  4 Ce 3.26-3.53, 3 In 3.40, 3 Sb 3.61
In  0.8633  0.8633  0.4101  4 Ce 3.26-3.53, 3 In 3.40, 3 Sb 3.61
Sb  0.3932  0.3932  0.8205  4 Ce 3.06-3.14
Sb  0.6068  0.6068  0.1795  4 Ce 3.06-3.14

**Formation energy without anion corrections**: -1.028 eV/f.u.
**Total magnetization**: 0.35 μB/atom
**Energy**: -4.6077 eV/atom



(9)
VASP calculation (PBE) on AgAs2Pb2 after structural relaxation.

a b c (Å): 7.8642 7.8642 4.1315
angles (deg): 90.00 90.00 90.00
Closest atoms and distances in Å follow each position.
Sites, in units of the cell vectors:
Pb  0.1512  0.6512  0.5000  6 As 2.90-3.24
Pb  0.6512  0.8488  0.5000  6 As 2.90-3.24
Pb  0.8488  0.3488  0.5000  6 As 2.90-3.24
Pb  0.3488  0.1512  0.5000  6 As 2.90-3.24
As  0.3341  0.8341  0.0000  6 Pb 2.90-3.24, 2 Ag 2.93
As  0.8341  0.6659  0.0000  6 Pb 2.90-3.24, 2 Ag 2.93
As  0.6659  0.1659  0.0000  6 Pb 2.90-3.24, 2 Ag 2.93
As  0.1659  0.3341  0.0000  6 Pb 2.90-3.24, 2 Ag 2.93
Ag  0.0000  0.0000  0.0000  4 As 2.93
Ag  0.5000  0.5000  0.0000  4 As 2.93

**Total magnetization**: 0.00 μB/atom
**Energy**: -3.7400 eV/atom
**Formation enthalpy at 0 K**: 0.17 eV/atom



(10)
VASP calculation (PBE) on PaRe2W after structural relaxation.

a b c (Å): 3.2288 4.7117 4.7117
angles (deg): 90.00 90.00 90.00
Closest atoms and distances in Å follow each position.
Sites, in units of the cell vectors:
Re  0.0000  0.0000  0.5000  4 W 2.86, 4 Pa 2.86
Re  0.0000  0.5000  0.0000  4 W 2.86, 4 Pa 2.86
Pa  0.5000  0.5000  0.5000  8 Re 2.86
W  0.5000  0.0000  0.0000  8 Re 2.86

**Total magnetization**: 0.00 μB/atom
**Energy**: -11.6875 eV/atom
**Formation enthalpy at 0 K**: 0.15 eV/atom



(11)
VASP calculation (PBE) on LaMgSbRh2 after structural relaxation.

a b c (Å): 4.8469 4.8469 6.3178
angles (deg): 90.00 90.00 90.00
Closest atoms and distances in Å follow each position.
Sites, in units of the cell vectors:
Sb  0.0000  0.0000  0.5000  2 La 3.16, 4 Mg 3.43
Mg  0.5000  0.5000  0.5000  4 Sb 3.43
Rh  0.0000  0.5000  0.0000  2 La 2.42
Rh  0.5000  0.0000  0.0000  2 La 2.42
La  0.0000  0.0000  0.0000  4 Rh 2.42

**Formation energy without anion corrections**: 3.175 eV/f.u.
**Total magnetization**: 0.00 μB/atom
**Energy**: -4.4344 eV/atom



(12)
VASP calculation (PBE) on Be3SiGe after structural relaxation.

a b c (Å): 4.2286 4.2286 4.2286
angles (deg): 90.00 90.00 90.00
Closest atoms and distances in Å follow each position.
Sites, in units of the cell vectors:
Be  0.0000  0.5000  0.0000  2 Si 2.11
Be  0.0000  0.0000  0.5000  2 Si 2.11
Be  0.5000  0.0000  0.0000  2 Si 2.11
Ge  0.5000  0.5000  0.5000  12 Be 2.99
Si  0.0000  0.0000  0.0000  6 Be 2.11

**Formation energy without anion corrections**: 4.544 eV/f.u.
**Total magnetization**: 0.00 μB/atom
**Energy**: -3.3349 eV/atom



(13)
VASP calculation (PBE) on AgRu2Br after structural relaxation.

a b c (Å): 4.6832 4.6832 2.9972
angles (deg): 90.00 90.00 99.96
Closest atoms and distances in Å follow each position.
Sites, in units of the cell vectors:
Ru  0.0000  0.0000  0.0000  4 Ag 2.78, 4 Br 2.78, 4 Ru 3.00-3.01
Ru  0.5000  0.5000  0.0000  4 Br 2.78, 4 Ag 2.78, 4 Ru 3.00-3.01
Br  0.0000  0.5000  0.5000  8 Ru 2.78, 2 Br 3.00, 2 Ag 3.01
Ag  0.5000  0.0000  0.5000  8 Ru 2.78, 2 Ag 3.00, 2 Br 3.01

**Formation energy without anion corrections**: 4.200 eV/f.u.
**Total magnetization**: 0.00 μB/atom
**Energy**: -4.7190 eV/atom



(14)
VASP calculation (PBE) on Ac4CuPt3 after structural relaxation.

a b c (Å): 4.1487 4.6979 11.5649
angles (deg): 90.00 90.00 90.00
Closest atoms and distances in Å follow each position.
Sites, in units of the cell vectors:
Ac  0.5000  0.5000  0.3696  6 Pt 3.16-3.32, 1 Cu 3.39
Ac  0.0000  0.5000  0.8627  5 Pt 3.11-3.21, 2 Cu 3.23
Ac  0.0000  0.0000  0.1347  3 Pt 3.13-3.22, 4 Cu 3.21
Ac  0.5000  0.0000  0.6356  7 Pt 3.17-3.37
Pt  0.0000  0.5000  0.5935  7 Ac 3.11-3.32, 2 Pt 3.20
Pt  0.0000  0.0000  0.4056  7 Ac 3.13-3.37, 2 Pt 3.20
Pt  0.5000  0.0000  0.9219  2 Cu 2.95, 6 Ac 3.21-3.22
Cu  0.5000  0.5000  0.0763  2 Pt 2.95, 6 Ac 3.21-3.23

**Total magnetization**: 0.00 μB/atom
**Energy**: -5.7430 eV/atom
**Formation enthalpy at 0 K**: -0.91 eV/atom



(15)
VASP calculation (PBE) on TaBeAg after structural relaxation.

a b c (Å): 6.0477 2.9833 9.8828
angles (deg): 90.00 90.00 90.00
Closest atoms and distances in Å follow each position.
Sites, in units of the cell vectors:
Be  0.8679  0.2500  0.7670  4 Ag 2.49-2.57, 4 Ta 2.63-2.74
Be  0.6321  0.7500  0.2670  4 Ag 2.49-2.57, 4 Ta 2.63-2.74
Be  0.1321  0.7500  0.2330  4 Ag 2.49-2.57, 4 Ta 2.63-2.74
Be  0.3679  0.2500  0.7330  4 Ag 2.49-2.57, 4 Ta 2.63-2.74
Ag  0.8967  0.2500  0.3879  4 Be 2.49-2.57
Ag  0.6033  0.7500  0.8879  4 Be 2.49-2.57
Ag  0.1033  0.7500  0.6121  4 Be 2.49-2.57
Ag  0.3967  0.2500  0.1121  4 Be 2.49-2.57
Ta  0.3694  0.2500  0.4154  4 Be 2.63-2.74, 2 Ta 2.74, 3 Ag 2.87-2.93
Ta  0.1306  0.7500  0.9154  4 Be 2.63-2.74, 2 Ta 2.74, 3 Ag 2.87-2.93
Ta  0.6306  0.7500  0.5846  4 Be 2.63-2.74, 2 Ta 2.74, 3 Ag 2.87-2.93
Ta  0.8694  0.2500  0.0846  4 Be 2.63-2.74, 2 Ta 2.74, 3 Ag 2.87-2.93

**Total magnetization**: 0.00 μB/atom
**Energy**: -5.9280 eV/atom
**Formation enthalpy at 0 K**: 0.22 eV/atom



(16)
VASP calculation (PBE) on CaFeP2 after structural relaxation.

a b c (Å): 4.4377 4.4377 4.4377
angles (deg): 60.00 60.00 60.00
Closest atoms and distances in Å follow each position.
Sites, in units of the cell vectors:
P  0.2500  0.2500  0.2500  4 Fe 2.72, 4 Ca 2.72
P  0.7500  0.7500  0.7500  4 Ca 2.72, 4 Fe 2.72
Ca  0.0000  0.0000  0.0000  8 P 2.72
Fe  0.5000  0.5000  0.5000  8 P 2.72

**Total magnetization**: 0.00 μB/atom
**Energy**: -5.3378 eV/atom
**Formation enthalpy at 0 K**: -0.02 eV/atom



(17)
VASP calculation (PBE) on InRe3Br after structural relaxation.

a b c (Å): 4.5900 4.5900 4.5900
angles (deg): 90.00 90.00 90.00
Closest atoms and distances in Å follow each position.
Sites, in units of the cell vectors:
Re  0.0000  0.5000  0.0000  2 Br 2.29
Re  0.0000  0.0000  0.5000  2 Br 2.29
Re  0.5000  0.0000  0.0000  2 Br 2.29
Br  0.0000  0.0000  0.0000  6 Re 2.29
In  0.5000  0.5000  0.5000  12 Re 3.25

**Formation energy without anion corrections**: 11.118 eV/f.u.
**Total magnetization**: 0.23 μB/atom
**Energy**: -6.1275 eV/atom



(18)
VASP calculation (PBE) on Al2Te3 after structural relaxation.

a b c (Å): 13.1416 7.2775 17.1519
angles (deg): 64.86 90.00 90.00
Closest atoms and distances in Å follow each position.
Sites, in units of the cell vectors:
Al  0.2501  0.7245  0.6952  4 Te 2.57-2.71
Al  0.7501  0.7755  0.8047  4 Te 2.57-2.71
Al  0.7499  0.2755  0.3048  4 Te 2.57-2.71
Al  0.2499  0.2245  0.1953  4 Te 2.57-2.71
Al  0.0940  0.2453  0.6855  4 Te 2.59-2.69
Al  0.5940  0.2547  0.8145  4 Te 2.59-2.69
Al  0.9060  0.7547  0.3145  4 Te 2.59-2.69
Al  0.4060  0.7453  0.1855  4 Te 2.59-2.69
Al  0.4103  0.2241  0.6970  4 Te 2.57-2.71
Al  0.9103  0.2759  0.8030  4 Te 2.57-2.71
Al  0.5897  0.7759  0.3030  4 Te 2.57-2.71
Al  0.0897  0.7241  0.1970  4 Te 2.57-2.71
Al  0.0673  0.7560  0.8126  4 Te 2.59-2.69
Al  0.5673  0.7440  0.6874  4 Te 2.59-2.69
Al  0.9327  0.2440  0.1874  4 Te 2.59-2.69
Al  0.4327  0.2560  0.3126  4 Te 2.59-2.69
Te  0.2569  0.4761  0.6142  3 Al 2.67-2.71
Te  0.7569  0.0239  0.8858  3 Al 2.67-2.71
Te  0.7431  0.5239  0.3858  3 Al 2.67-2.71
Te  0.2431  0.9761  0.1142  3 Al 2.67-2.71
Te  0.2363  0.5559  0.8606  2 Al 2.57-2.59
Te  0.7363  0.9441  0.6394  2 Al 2.57-2.59
Te  0.7637  0.4441  0.1394  2 Al 2.57-2.59
Te  0.2637  0.0559  0.3606  2 Al 2.57-2.59
Te  0.0839  0.0648  0.8588  3 Al 2.69
Te  0.5839  0.4352  0.6412  3 Al 2.69
Te  0.9161  0.9352  0.1412  3 Al 2.69
Te  0.4161  0.5648  0.3588  3 Al 2.69
Te  0.4250  0.0544  0.8623  2 Al 2.57-2.59
Te  0.9250  0.4457  0.6377  2 Al 2.57-2.59
Te  0.5750  0.9456  0.1377  2 Al 2.57-2.59
Te  0.0750  0.5543  0.3623  2 Al 2.57-2.59
Te  0.4050  0.9763  0.6154  3 Al 2.68-2.71
Te  0.9050  0.5237  0.8846  3 Al 2.68-2.71
Te  0.5950  0.0237  0.3846  3 Al 2.68-2.71
Te  0.0950  0.4763  0.1154  3 Al 2.68-2.71
Te  0.0769  0.9364  0.6393  3 Al 2.69
Te  0.5769  0.5636  0.8607  3 Al 2.69
Te  0.9231  0.0636  0.3607  3 Al 2.69
Te  0.4231  0.4364  0.1393  3 Al 2.69

**Formation energy without anion corrections**: -2.261 eV/f.u.
**Total magnetization**: 0.00 μB/atom
**Energy**: -3.8342 eV/atom



(19)
VASP calculation (PBE) on CsZn2Bi after structural relaxation.

a b c (Å): 5.1745 5.1745 7.0864
angles (deg): 68.59 68.59 60.00
Closest atoms and distances in Å follow each position.
Sites, in units of the cell vectors:
Cs  0.0000  0.0000  0.0000  2 Zn 3.59
Zn  0.1862  0.1862  0.4415  3 Bi 3.01, 3 Zn 3.08
Zn  0.8138  0.8138  0.5585  3 Bi 3.01, 3 Zn 3.08
Bi  0.5000  0.5000  0.5000  6 Zn 3.01

**Total magnetization**: 0.00 μB/atom
**Energy**: -1.8397 eV/atom
**Formation enthalpy at 0 K**: -0.02 eV/atom



(20)
VASP calculation (PBE) on Ni5MoRh2 after structural relaxation.

a b c (Å): 4.4693 6.8261 7.0096
angles (deg): 104.28 104.51 91.93
Closest atoms and distances in Å follow each position.
Sites, in units of the cell vectors:
Ni  0.6290  0.5613  0.8848  7 Ni 2.48-2.72, 1 Mo 2.54, 4 Rh 2.56-2.72
Ni  0.1588  0.7437  0.0128  7 Ni 2.42-2.71, 3 Rh 2.61-2.67
Ni  0.8412  0.2563  0.9872  7 Ni 2.42-2.71, 3 Rh 2.61-2.67
Ni  0.1940  0.7296  0.6708  2 Mo 2.41-2.50, 3 Ni 2.42-2.62, 4 Rh 2.47-2.60
Ni  0.8060  0.2704  0.3292  2 Mo 2.41-2.50, 3 Ni 2.42-2.62, 4 Rh 2.47-2.60
Ni  0.5389  0.1826  0.6238  4 Ni 2.48-2.72, 3 Mo 2.51-2.66, 4 Rh 2.57-2.66
Ni  0.4611  0.8174  0.3762  4 Ni 2.48-2.72, 3 Mo 2.51-2.66, 4 Rh 2.57-2.66
Ni  0.3710  0.4387  0.1152  7 Ni 2.48-2.72, 1 Mo 2.54, 4 Rh 2.56-2.72
Ni  0.3010  0.0848  0.8796  6 Ni 2.46-2.64, 4 Rh 2.53-2.69, 1 Mo 2.57
Ni  0.6990  0.9152  0.1204  6 Ni 2.46-2.64, 4 Rh 2.53-2.69, 1 Mo 2.57
Mo  0.0000  0.0000  0.5000  8 Ni 2.50-2.66, 4 Rh 2.67
Mo  0.5000  0.5000  0.5000  6 Ni 2.41-2.54
Rh  0.0753  0.3861  0.7192  10 Ni 2.51-2.72, 1 Mo 2.67
Rh  0.7374  0.8805  0.7601  10 Ni 2.47-2.67, 1 Mo 2.67
Rh  0.9247  0.6139  0.2808  10 Ni 2.51-2.72, 1 Mo 2.67
Rh  0.2626  0.1195  0.2399  10 Ni 2.47-2.67, 1 Mo 2.67

**Total magnetization**: 0.18 μB/atom
**Energy**: -6.7709 eV/atom
**Formation enthalpy at 0 K**: 0.03 eV/atom